The following is a PBE-GGA calculation of Sc2AlCl after structural relaxation, from the Alexandria database.

Values from the calculation:
Energy relative to the lowest polymorph listed for this composition in meV per atom: 289
Total moment in μB per atom: 0.000
Formation energy from raw total energies in eV/atom: -0.5150
Total DFT energy (no corrections) in eV/atom: -5.078

Geometry as POSCAR:
```
Sc2AlCl
1.0
5.340 -0.003 0.000
0.871 5.268 0.000
-2.067 -3.857 3.060
Cl Sc Al
1 2 1
Direct
0.250 0.750 0.500
0.028 0.028 0.000
0.472 0.472 0.000
0.750 0.250 0.500
```

The following is a PBE-GGA calculation of Y2ErPaP4 after structural relaxation, from the Alexandria database.

Values from the calculation:
Total moment in μB per atom: 0.000
Total DFT energy (no corrections) in eV/atom: -7.631
Formation energy in eV per atom: -1.553

Geometry as POSCAR:
```
Y2ErPaP4
1.0
-3.158 -2.431 0.230
2.610 -2.851 5.704
-3.997 5.355 1.726
P Y Er Pa
4 2 1 1
Direct
0.500 0.251 0.244
0.000 0.747 0.245
0.000 0.253 0.755
0.500 0.749 0.756
0.000 0.500 0.500
0.500 0.000 0.500
0.000 0.000 0.000
0.500 0.500 0.000
```

The following is a PBE-GGA calculation of NbSiGe2Sb after structural relaxation, from the Alexandria database.

Values from the calculation:
Total moment in μB per atom: 0.503
Formation energy from raw total energies in eV/atom: 0.9736
Total DFT energy (no corrections) in eV/atom: -4.796

Geometry as POSCAR:
```
NbSiGe2Sb
1.0
4.633 0.000 0.000
0.000 5.339 0.000
0.000 0.000 4.633
Ge Nb Si Sb
2 1 1 1
Direct
0.500 0.000 0.000
0.000 0.000 0.500
0.500 0.500 0.500
0.000 0.000 0.000
0.000 0.500 0.000
```

The following is a PBE-GGA calculation of ZrTlSe2 after structural relaxation, from the Alexandria database.

Values from the calculation:
Total moment in μB per atom: 0.221
Formation energy from raw total energies in eV/atom: -0.6808
Total DFT energy (no corrections) in eV/atom: -5.152

Geometry as POSCAR:
```
ZrTlSe2
1.0
3.623 -2.092 0.000
0.000 4.184 0.000
0.000 0.000 8.489
Se Zr Tl
2 1 1
Direct
0.333 0.667 0.741
0.667 0.333 0.313
0.333 0.667 0.446
0.000 0.000 0.955
```

The following is a PBE-GGA calculation of Ce3Nd2TmSb6 after structural relaxation, from the Alexandria database.

Values from the calculation:
Total moment in μB per atom: 0.197
Formation energy from raw total energies in eV/atom: -1.0937
Total DFT energy (no corrections) in eV/atom: -5.806

Geometry as POSCAR:
```
Ce3Nd2TmSb6
1.0
7.765 -0.002 0.000
-3.882 6.725 0.000
-1.296 -2.244 7.319
Sb Nd Ce Tm
6 2 3 1
Direct
0.409 0.082 0.248
0.591 0.918 0.752
0.918 0.591 0.752
0.758 0.758 0.251
0.082 0.409 0.248
0.242 0.242 0.749
0.334 0.666 0.000
0.666 0.334 0.000
0.500 0.500 0.500
0.169 0.831 0.500
0.831 0.169 0.500
0.000 0.000 0.000
```

The following is a PBE-GGA calculation of SnIrRuF2 after structural relaxation, from the Alexandria database.

Values from the calculation:
Total moment in μB per atom: 0.699
Formation energy from raw total energies in eV/atom: -0.1276
Total DFT energy (no corrections) in eV/atom: -5.304

Geometry as POSCAR:
```
SnIrRuF2
1.0
-3.998 0.300 0.716
-0.938 -4.151 -3.496
0.349 -2.660 3.064
Ru Sn F Ir
1 1 2 1
Direct
0.500 0.500 0.500
0.000 0.000 0.000
0.000 0.000 0.500
0.500 0.000 0.000
0.000 0.500 0.000
```

The following is a PBE-GGA calculation of Cs2Tl3Hg6 after structural relaxation, from the Alexandria database.

Values from the calculation:
Total moment in μB per atom: 0.000
Total DFT energy (no corrections) in eV/atom: -1.085
Formation energy in eV per atom: -0.120

Geometry as POSCAR:
```
Cs2Tl3Hg6
1.0
-1.185 0.882 4.544
-7.024 -6.232 -0.623
6.911 -5.687 2.907
Hg Cs Tl
6 2 3
Direct
0.500 0.377 0.377
0.500 0.354 0.038
0.500 0.623 0.623
0.500 0.962 0.646
0.500 0.038 0.354
0.500 0.646 0.962
0.000 0.706 0.294
0.000 0.294 0.706
0.500 0.000 0.000
0.000 0.192 0.192
0.000 0.808 0.808
```

The following is a PBE-GGA calculation of NaScPb2O6 after structural relaxation, from the Alexandria database.

Values from the calculation:
Total moment in μB per atom: 0.000
Formation energy from raw total energies in eV/atom: -1.6369
Total DFT energy (no corrections) in eV/atom: -6.119

Geometry as POSCAR:
```
NaScPb2O6
1.0
5.663 0.000 0.000
2.832 4.905 0.000
2.832 1.635 4.996
Pb Sc O Na
2 1 6 1
Direct
0.523 0.523 0.430
0.020 0.020 0.940
0.313 0.313 0.062
0.149 0.387 0.761
0.703 0.149 0.761
0.605 0.233 0.235
0.926 0.605 0.235
0.387 0.703 0.761
0.233 0.926 0.235
0.801 0.801 0.596
```

The following is a PBE-GGA calculation of BaPb2W after structural relaxation, from the Alexandria database.

Values from the calculation:
Energy relative to the lowest polymorph listed for this composition in meV per atom: 437
Total moment in μB per atom: 0.349
Total DFT energy (no corrections) in eV/atom: -4.662
Formation energy in eV per atom: 0.911

Geometry as POSCAR:
```
BaPb2W
1.0
6.250 -0.299 0.000
-2.435 5.764 0.000
0.000 0.000 3.188
Pb Ba W
2 1 1
Direct
0.000 0.000 0.000
0.500 0.500 0.000
0.000 0.500 0.500
0.500 0.000 0.500
```

The following is a PBE-GGA calculation of ZrFe2Si after structural relaxation, from the Alexandria database.

Values from the calculation:
Total moment in μB per atom: 0.000
Formation energy from raw total energies in eV/atom: -0.2926
Total DFT energy (no corrections) in eV/atom: -8.017

Geometry as POSCAR:
```
ZrFe2Si
1.0
-2.586 -1.077 -1.085
0.677 -2.718 1.085
-2.690 1.352 5.066
Fe Zr Si
2 1 1
Direct
0.000 0.000 0.033
0.000 0.000 0.467
0.500 0.500 0.750
0.500 0.500 0.250
```

The following is a PBE-GGA calculation of NiHPd2 after structural relaxation, from the Alexandria database.

Values from the calculation:
Energy relative to the lowest polymorph listed for this composition in meV per atom: 32
Total moment in μB per atom: 0.210
Total DFT energy (no corrections) in eV/atom: -4.833

Geometry as POSCAR:
```
NiHPd2
1.0
2.792 0.000 0.000
1.396 2.418 0.000
1.396 0.806 6.669
Ni Pd H
1 2 1
Direct
0.500 0.500 0.501
0.271 0.271 0.187
0.061 0.061 0.817
0.668 0.668 0.995
```

The following is a PBE-GGA calculation of VCuPt4 after structural relaxation, from the Alexandria database.

Values from the calculation:
Total moment in μB per atom: 0.000
Total DFT energy (no corrections) in eV/atom: -6.458
Formation energy in eV per atom: -0.228

Geometry as POSCAR:
```
VCuPt4
1.0
-0.564 1.168 -2.428
-6.793 -2.972 0.149
-3.060 7.204 4.175
Pt V Cu
8 2 2
Direct
0.000 0.000 0.000
0.500 0.328 0.035
0.500 0.328 0.465
0.500 0.129 0.750
0.500 0.672 0.965
0.500 0.871 0.250
0.000 0.000 0.500
0.500 0.672 0.535
0.000 0.816 0.750
0.000 0.184 0.250
0.000 0.457 0.750
0.000 0.543 0.250
```